No. 1
First-principles (GGA-PBEsol) data for crystalline Be2CrFe at its relaxed geometry, as listed in the Alexandria database.

Calculated values
energy relative to the elements: -0.16 eV per atom
energy relative to the lowest polymorph listed for this composition: 0 meV per atom

Lattice parameters (Å, degrees): 5.255 5.255 5.255 90.00 90.00 90.00
Space group F-43m (No. 216)
Inequivalent atoms, fractional coordinates:
Be: 0.000 0.000 0.000
Be: 0.250 0.250 0.250
Cr: 0.000 0.000 0.500
Fe: 0.250 0.250 0.750

***

No. 2
First-principles (GGA-PBEsol) data for crystalline LiRuCl2O at its relaxed geometry, as listed in the Alexandria database.

Calculated values
ΔE_f (raw): 0.85 eV per atom

Lattice parameters (Å, degrees): 4.210 4.210 4.852 90.00 90.00 90.00
Space group P4/mmm (No. 123)
Inequivalent atoms, fractional coordinates:
Li: 0.000 0.000 0.000
Ru: 0.000 0.000 0.500
Cl: 0.000 0.500 0.000
O: 0.500 0.500 0.500

***

No. 3
First-principles (GGA-PBEsol) data for crystalline LiLa2 at its relaxed geometry, as listed in the Alexandria database.

Calculated values
energy relative to the elements: 0.09 eV per atom
energy relative to the lowest polymorph listed for this composition: 24 meV per atom

Lattice parameters (Å, degrees): 3.652 17.337 5.635 90.00 90.00 90.00
Space group Cmcm (No. 63)
Inequivalent atoms, fractional coordinates:
Li: 0.000 0.061 0.250
La: 0.000 0.278 0.750
La: 0.000 0.402 0.250

***

No. 4
First-principles (GGA-PBEsol) data for crystalline LaHgPt2 at its relaxed geometry, as listed in the Alexandria database.

Calculated values
energy relative to the elements: -0.70 eV per atom

Lattice parameters (Å, degrees): 4.181 3.929 10.327 90.00 90.00 90.00
Space group Amm2 (No. 38)
Inequivalent atoms, fractional coordinates:
La: 0.000 0.000 0.000
Hg: 0.500 0.000 0.293
Pt: 0.000 0.000 0.730
Pt: 0.500 0.000 0.565

***

No. 5
First-principles (GGA-PBEsol) data for crystalline HgIrPt at its relaxed geometry, as listed in the Alexandria database.

Calculated values
energy relative to the elements: 0.68 eV per atom

Lattice parameters (Å, degrees): 6.129 6.129 6.129 90.00 90.00 90.00
Space group F-43m (No. 216)
Inequivalent atoms, fractional coordinates:
Hg: 0.000 0.000 0.000
Ir: 0.250 0.250 0.250
Pt: 0.000 0.000 0.500

***

No. 6
First-principles (GGA-PBEsol) data for crystalline CeFe4As12 at its relaxed geometry, as listed in the Alexandria database.

Calculated values
energy relative to the elements: -0.48 eV per atom

Lattice parameters (Å, degrees): 8.207 8.207 8.207 90.00 90.00 90.00
Space group Im-3 (No. 204)
Inequivalent atoms, fractional coordinates:
Ce: 0.000 0.000 0.000
Fe: 0.250 0.250 0.250
As: 0.000 0.157 0.342

***

No. 7
First-principles (GGA-PBEsol) data for crystalline YCrAs2 at its relaxed geometry, as listed in the Alexandria database.

Calculated values
energy relative to the elements: -0.77 eV per atom
energy relative to the lowest polymorph listed for this composition: 0 meV per atom

Lattice parameters (Å, degrees): 3.8797 3.8797 17.6790 90.00 90.00 120.00
Space group R-3m (No. 166, hexagonal axes)
Inequivalent atoms, fractional coordinates:
Y: 0.0000 0.0000 0.0000
Cr: 0.0000 0.0000 0.5000
As: 0.0000 0.0000 0.2351

***

No. 8
First-principles (GGA-PBEsol) data for crystalline CaAlI2O at its relaxed geometry, as listed in the Alexandria database.

Calculated values
ΔE_f (raw): -0.63 eV per atom

Lattice parameters (Å, degrees): 6.068 6.068 4.186 90.00 90.00 90.00
Space group P4/mmm (No. 123)
Inequivalent atoms, fractional coordinates:
Ca: 0.000 0.000 0.000
Al: 0.500 0.500 0.500
I: 0.000 0.500 0.000
O: 0.000 0.000 0.500

***

Number 1 is which compound? Be2CrFe